No. 1
Compound: DyCu6Pd6
Source: Alexandria
Functional: PBE
Structure: optimized geometry

Computed properties:
Calculated total energy in eV per atom: -4.9799
Volume in A^3/atom: 14.7
Density of states at the Fermi level in states/eV/cell: 3.8

Cell and atoms, written as POSCAR:
```
DyCu6Pd6
1.0
-0.2380 -4.7573 1.4960
-1.8801 -4.0780 -4.9360
5.8498 -3.1331 -0.7015
Cu Pd Dy
6 6 1
Direct
0.5000 0.2373 0.7627
0.5000 0.0000 0.5000
0.0000 0.0000 0.5000
0.5000 0.7627 0.2373
0.0000 0.5000 0.0000
0.5000 0.5000 0.0000
0.0000 0.6530 0.3470
0.3421 0.6579 0.6579
0.3119 0.1881 0.1881
0.6881 0.8119 0.8119
0.6579 0.3421 0.3421
0.0000 0.3470 0.6530
0.0000 0.0000 0.0000
```


No. 2
Compound: Lu3Au
Source: Alexandria
Functional: PBE
Structure: optimized geometry

Computed properties:
Calculated total energy in eV per atom: -4.6441
Volume in A^3/atom: 25.8
Density of states at the Fermi level in states/eV/cell: 3.0
Energy above the most stable polymorph in this dataset in meV/atom: 0.0

Cell and atoms, written as POSCAR:
```
Lu3Au
1.0
-1.3064 -1.4239 3.0715
-0.6726 -4.5322 -2.3872
6.0697 1.4573 1.1137
Lu Au
3 1
Direct
0.7093 0.1256 0.4186
0.5000 0.4165 0.0000
0.2907 0.7070 0.5814
0.0000 0.9175 0.0000
```